# ScCdHg3, relaxed, DFT PBE
data_ScCdHg3
_space_group_name_H-M_alt 'C m c m'
_space_group_IT_number 63
_space_group_name_Hall '-C 2c 2'
_cell_length_a 6.325
_cell_length_b 15.335
_cell_length_c 5.325
_cell_angle_alpha 90.00
_cell_angle_beta 90.00
_cell_angle_gamma 90.00
loop_
_atom_site_label
_atom_site_type_symbol
_atom_site_fract_x
_atom_site_fract_y
_atom_site_fract_z
_atom_site_occupancy
Sc1 Sc 0.000 0.188 0.250 1
Cd1 Cd 0.000 0.339 0.750 1
Hg1 Hg 0.000 0.000 0.000 1
Hg2 Hg 0.249 0.152 0.750 1
# Energy of formation from the pure elements   -0.06 eV per atom
# Crystal system   orthorhombic
# N(E_F)   14.310 states/eV/cell
# Total magnetic moment   0.00 Bohr magnetons per cell

=====

# ScCd2Hg4, relaxed, DFT PBE
data_ScCd2Hg4
_space_group_name_H-M_alt 'R -3 m'
_space_group_IT_number 166
_space_group_name_Hall '-R 3 2"'
_cell_length_a 4.9134
_cell_length_b 4.9134
_cell_length_c 24.0130
_cell_angle_alpha 90.00
_cell_angle_beta 90.00
_cell_angle_gamma 120.00
loop_
_atom_site_label
_atom_site_type_symbol
_atom_site_fract_x
_atom_site_fract_y
_atom_site_fract_z
_atom_site_occupancy
Sc1 Sc 0.0000 0.0000 0.0000 1
Cd1 Cd 0.0000 0.0000 0.2526 1
Hg1 Hg 0.0000 0.0000 0.1298 1
Hg2 Hg 0.0000 0.0000 0.3809 1
# Energy of formation from the pure elements   -0.13 eV per atom
# Crystal system   trigonal
# N(E_F)   10.256 states/eV/cell
# Total magnetic moment   0.00 Bohr magnetons per cell

=====

# ScCd12Hg6, relaxed, DFT PBE
data_ScCd12Hg6
_space_group_name_H-M_alt 'R -3'
_space_group_IT_number 148
_space_group_name_Hall '-R 3'
_cell_length_a 11.1019
_cell_length_b 11.1019
_cell_length_c 12.8536
_cell_angle_alpha 90.00
_cell_angle_beta 90.00
_cell_angle_gamma 120.00
loop_
_atom_site_label
_atom_site_type_symbol
_atom_site_fract_x
_atom_site_fract_y
_atom_site_fract_z
_atom_site_occupancy
Sc1 Sc 0.0000 0.0000 0.0000 1
Cd1 Cd 0.0885 0.9026 0.7963 1
Cd2 Cd 0.1028 0.2068 0.4023 1
Hg1 Hg 0.0337 0.5201 0.7256 1
# Energy of formation from the pure elements   -0.02 eV per atom
# Crystal system   trigonal
# N(E_F)   21.957 states/eV/cell
# Total magnetic moment   0.00 Bohr magnetons per cell

=====

# Sc2CdHg, relaxed, DFT PBE
data_Sc2CdHg
_space_group_name_H-M_alt 'C 1 m 1'
_space_group_IT_number 8
_cell_length_a 11.029
_cell_length_b 3.415
_cell_length_c 5.057
_cell_angle_alpha 90.00
_cell_angle_beta 109.25
_cell_angle_gamma 90.00
loop_
_space_group_symop_operation_xyz
'x,y,z'
'x,-y,z'
'x+1/2,y+1/2,z'
'x+1/2,-y+1/2,z'
loop_
_atom_site_label
_atom_site_type_symbol
_atom_site_fract_x
_atom_site_fract_y
_atom_site_fract_z
_atom_site_occupancy
Sc1 Sc 0.000 0.000 0.000 1
Sc2 Sc 0.235 0.000 0.674 1
Cd1 Cd 0.256 0.500 0.180 1
Hg1 Hg 0.487 0.000 0.502 1
# Energy of formation from the pure elements   -0.25 eV per atom
# Crystal system   monoclinic
# N(E_F)   9.676 states/eV/cell
# Total magnetic moment   0.00 Bohr magnetons per cell